# 1
# Fe3HgS

A relaxed structure of Fe3HgS (PBE, Alexandria via LeMat-Bulk).

a = 4.203 Å, b = 4.203 Å, c = 4.203 Å
α = 90.00°, β = 90.00°, γ = 90.00°
Fractional positions:
Fe1 0.000 0.000 0.500
Fe2 0.000 0.500 0.000
Fe3 0.500 0.000 0.000
Hg1 0.500 0.500 0.500
S1 0.000 0.000 0.000

ρ   8.95 g/cm3
Crystal system   cubic
Symmetry   No. 221
Raw total energy   -5.760 eV/atom
Polymorph energy (0 for the lowest one)   0 meV/atom
Formation energy from raw total energies   1.016 eV/f.u.


# 2
# FeHg3S

A relaxed structure of FeHg3S (PBE, Alexandria via LeMat-Bulk).

a = 5.132 Å, b = 5.132 Å, c = 5.132 Å
α = 90.00°, β = 90.00°, γ = 90.00°
Fractional positions:
Fe1 0.000 0.000 0.000
Hg1 0.000 0.000 0.500
Hg2 0.000 0.500 0.000
Hg3 0.500 0.000 0.000
S1 0.500 0.500 0.500

ρ   8.47 g/cm3
Crystal system   cubic
Symmetry   No. 221
Raw total energy   -2.034 eV/atom
Polymorph energy (0 for the lowest one)   0 meV/atom
Formation energy from raw total energies   3.327 eV/f.u.


# 3
# Fe3HgS

A relaxed structure of Fe3HgS (PBE, Alexandria via LeMat-Bulk).

a = 4.859 Å, b = 4.859 Å, c = 4.859 Å
α = 90.00°, β = 90.00°, γ = 90.00°
Fractional positions:
Fe1 0.000 0.000 0.500
Fe2 0.000 0.500 0.000
Fe3 0.500 0.000 0.000
Hg1 0.000 0.000 0.000
S1 0.500 0.500 0.500

ρ   5.79 g/cm3
Crystal system   cubic
Symmetry   No. 221
Raw total energy   -4.318 eV/atom
Polymorph energy (0 for the lowest one)   1442 meV/atom
Formation energy from raw total energies   8.227 eV/f.u.


# 4
# Ta2FeHg2S6

A relaxed structure of Ta2FeHg2S6 (PBE, Alexandria via LeMat-Bulk).

a = 5.755 Å, b = 5.755 Å, c = 9.769 Å
α = 96.92°, β = 96.92°, γ = 119.97°
Fractional positions:
Ta1 0.167 0.833 0.000
Ta2 0.833 0.167 0.000
Fe1 0.500 0.500 0.000
Hg1 0.329 0.671 0.500
Hg2 0.671 0.329 0.500
S1 0.118 0.437 0.845
S2 0.246 0.246 0.154
S3 0.437 0.118 0.845
S4 0.563 0.882 0.155
S5 0.754 0.754 0.846
S6 0.882 0.563 0.155

ρ   6.17 g/cm3
Crystal system   monoclinic
Symmetry   No. 12
Raw total energy   -5.876 eV/atom
Formation energy from raw total energies   -7.095 eV/f.u.


# 5
# TlFeHgS2

A relaxed structure of TlFeHgS2 (PBE, Alexandria via LeMat-Bulk).

a = 4.576 Å, b = 4.576 Å, c = 5.444 Å
α = 90.00°, β = 90.00°, γ = 90.00°
Fractional positions:
Tl1 0.000 0.000 0.000
Fe1 0.500 0.500 0.500
Hg1 0.500 0.500 0.000
S1 0.000 0.500 0.500
S2 0.500 0.000 0.500

ρ   7.65 g/cm3
Crystal system   tetragonal
Symmetry   No. 123
Raw total energy   -3.881 eV/atom
Formation energy from raw total energies   -0.018 eV/f.u.


# 6
# VFe2HgS

A relaxed structure of VFe2HgS (PBE, Alexandria via LeMat-Bulk).

a = 4.591 Å, b = 4.591 Å, c = 4.366 Å
α = 90.00°, β = 90.00°, γ = 90.00°
Fractional positions:
V1 0.000 0.000 0.000
Fe1 0.000 0.500 0.000
Fe2 0.500 0.000 0.000
Hg1 0.500 0.500 0.500
S1 0.000 0.000 0.500

ρ   7.13 g/cm3
Crystal system   tetragonal
Symmetry   No. 123
Raw total energy   -5.324 eV/atom
Formation energy from raw total energies   3.855 eV/f.u.